Compound: NaMoOF2
Source: the Alexandria database
Functional: PBEsol
Structure: relaxed

abc: 4.1921 4.1921 3.8107
angles: 90.00 90.00 90.00
Last column: nearest neighbours and their distance in Å.
Space group P4/mmm (No. 123)
Unique sites:
Na 0.0000 0.0000 0.0000 (multiplicity 1)  8 F 2.83, 4 O 2.96
Mo 0.5000 0.5000 0.5000 (multiplicity 1)  2 O 1.91, 4 F 2.10
O 0.5000 0.5000 0.0000 (multiplicity 1)  2 Mo 1.91
F 0.0000 0.5000 0.5000 (multiplicity 2)  2 Mo 2.10

N(E_F)	2.48	states/eV per cell
raw formation energy	-1.88	eV per atom
calculated total energy	-6.33	eV per atom
crystal system	tetragonal